No. 1
! NaPAu | the Alexandria database | PBE-GGA | optimized geometry; values from VASP
! SG: No. 187
! M_tot (μB/f.u.): 0.00
! Density of states at the Fermi level (states/eV/atom): 0.80
! Total DFT energy (no corrections) (eV/atom): -3.617
&SYSTEM
  ibrav = 0, nat = 3, ntyp = 3
/
ATOMIC_SPECIES
P 30.97 P.upf
Au 196.97 Au.upf
Na 22.99 Na.upf
CELL_PARAMETERS angstrom
-1.4264 0.1245 4.0453
2.0661 -3.5171 0.8368
1.8593 3.6862 0.5422
ATOMIC_POSITIONS crystal
P 0.1666 0.0000 0.0000
Au 0.1667 0.3333 0.6667
Na 0.6667 0.6667 0.3333


No. 2
! Na2PAu2 | the Alexandria database | PBE-GGA | optimized geometry; values from VASP
! SG: No. 127
! M_tot (μB/f.u.): 0.00
! Density of states at the Fermi level (states/eV/atom): 0.30
! Total DFT energy (no corrections) (eV/atom): -3.124
&SYSTEM
  ibrav = 0, nat = 10, ntyp = 3
/
ATOMIC_SPECIES
P 30.97 P.upf
Au 196.97 Au.upf
Na 22.99 Na.upf
CELL_PARAMETERS angstrom
-6.2207 2.2241 -0.8396
-0.0974 -2.5886 -6.1350
-1.7077 -4.1112 1.7618
ATOMIC_POSITIONS crystal
P 0.0000 0.0000 0.0000
P 0.5000 0.5000 0.0000
Au 0.3468 0.8468 0.0000
Au 0.8468 0.6532 0.0000
Au 0.6532 0.1532 0.0000
Au 0.1532 0.3468 0.0000
Na 0.1687 0.6687 0.5000
Na 0.6687 0.8313 0.5000
Na 0.8313 0.3313 0.5000
Na 0.3313 0.1687 0.5000


No. 3
! Na3P2Au | the Alexandria database | PBE-GGA | optimized geometry; values from VASP
! SG: No. 14
! M_tot (μB/f.u.): 0.00
! Density of states at the Fermi level (states/eV/atom): 0.11
! Total DFT energy (no corrections) (eV/atom): -3.374
&SYSTEM
  ibrav = 0, nat = 24, ntyp = 3
/
ATOMIC_SPECIES
Na 22.99 Na.upf
P 30.97 P.upf
Au 196.97 Au.upf
CELL_PARAMETERS angstrom
-0.8411 -9.6882 -0.5245
5.7259 -0.8660 6.8139
-4.9762 0.3267 4.2232
ATOMIC_POSITIONS crystal
Na 0.1828 0.9241 0.0128
Na 0.3172 0.4241 0.4872
Na 0.8172 0.0759 0.9872
Na 0.6828 0.5759 0.5128
Na 0.3114 0.5125 0.0073
Na 0.1886 0.0125 0.4927
Na 0.6886 0.4875 0.9927
Na 0.8114 0.9875 0.5073
Na 0.9645 0.6202 0.2520
Na 0.5355 0.1202 0.2480
Na 0.0355 0.3798 0.7480
Na 0.4645 0.8798 0.7520
P 0.7035 0.8113 0.1822
P 0.7965 0.3113 0.3178
P 0.2965 0.1887 0.8178
P 0.2035 0.6887 0.6822
P 0.2362 0.7203 0.3431
P 0.2638 0.2203 0.1569
P 0.7638 0.2797 0.6569
P 0.7362 0.7797 0.8431
Au 0.4706 0.7616 0.2643
Au 0.0294 0.2616 0.2357
Au 0.5294 0.2384 0.7357
Au 0.9706 0.7384 0.7643


No. 4
! Na4P2Au | the Alexandria database | PBE-GGA | optimized geometry; values from VASP
! SG: No. 166
! M_tot (μB/f.u.): 0.00
! Density of states at the Fermi level (states/eV/atom): 0.56
! Total DFT energy (no corrections) (eV/atom): -3.135
&SYSTEM
  ibrav = 0, nat = 7, ntyp = 3
/
ATOMIC_SPECIES
Na 22.99 Na.upf
P 30.97 P.upf
Au 196.97 Au.upf
CELL_PARAMETERS angstrom
-1.1039 -4.0037 2.6074
-0.5699 -4.3159 -2.2572
7.7441 -4.4008 1.1326
ATOMIC_POSITIONS crystal
Na 0.3870 0.3870 0.8389
Na 0.2059 0.2059 0.3823
Na 0.7941 0.7941 0.6177
Na 0.6130 0.6130 0.1611
P 0.0912 0.0912 0.7263
P 0.9088 0.9088 0.2737
Au 0.0000 0.0000 0.0000


No. 5
! NaPAu | the Alexandria database | PBE-GGA | optimized geometry; values from VASP
! SG: No. 44
! M_tot (μB/f.u.): 0.00
! Density of states at the Fermi level (states/eV/atom): 0.22
! Total DFT energy (no corrections) (eV/atom): -3.646
&SYSTEM
  ibrav = 0, nat = 12, ntyp = 3
/
ATOMIC_SPECIES
Na 22.99 Na.upf
P 30.97 P.upf
Au 196.97 Au.upf
CELL_PARAMETERS angstrom
4.4148 0.0000 0.0000
0.0000 6.9483 0.0000
0.0000 0.0000 7.4713
ATOMIC_POSITIONS crystal
Na 0.0000 0.5000 0.0679
Na 0.5000 0.0000 0.5679
Na 0.0000 0.0000 0.1638
Na 0.5000 0.5000 0.6638
P 0.0000 0.8340 0.7869
P 0.0000 0.1660 0.7869
P 0.5000 0.3340 0.2869
P 0.5000 0.6660 0.2869
Au 0.0000 0.2804 0.4622
Au 0.0000 0.7196 0.4622
Au 0.5000 0.7804 0.9622
Au 0.5000 0.2196 0.9622


No. 6
! Na2P2Pd5Au | the Alexandria database | PBE-GGA | optimized geometry; values from VASP
! SG: No. 127
! M_tot (μB/f.u.): 0.00
! Density of states at the Fermi level (states/eV/atom): 0.40
! Total DFT energy (no corrections) (eV/atom): -4.694
&SYSTEM
  ibrav = 0, nat = 20, ntyp = 4
/
ATOMIC_SPECIES
Na 22.99 Na.upf
P 30.97 P.upf
Pd 106.42 Pd.upf
Au 196.97 Au.upf
CELL_PARAMETERS angstrom
-0.0384 3.1166 -0.9231
-8.7254 -1.5878 -4.9980
-5.2428 2.4187 8.3843
ATOMIC_POSITIONS crystal
Na 0.0000 0.6735 0.1735
Na 0.0000 0.3265 0.8265
Na 0.0000 0.1735 0.3265
Na 0.0000 0.8265 0.6735
P 0.0000 0.1282 0.6282
P 0.0000 0.8718 0.3718
P 0.0000 0.6282 0.8718
P 0.0000 0.3718 0.1282
Pd 0.5000 0.2128 0.0704
Pd 0.5000 0.7872 0.9296
Pd 0.5000 0.0704 0.7872
Pd 0.5000 0.7128 0.4296
Pd 0.5000 0.9296 0.2128
Pd 0.5000 0.2872 0.5704
Pd 0.5000 0.5704 0.7128
Pd 0.5000 0.4296 0.2872
Pd 0.5000 0.5000 0.0000
Pd 0.5000 0.0000 0.5000
Au 0.0000 0.0000 0.0000
Au 0.0000 0.5000 0.5000


No. 7
! NaPmPAu | the Alexandria database | PBE-GGA | optimized geometry; values from VASP
! SG: No. 216
! M_tot (μB/f.u.): 0.00
! Density of states at the Fermi level (states/eV/atom): 0.01
! Total DFT energy (no corrections) (eV/atom): -4.388
&SYSTEM
  ibrav = 0, nat = 4, ntyp = 4
/
ATOMIC_SPECIES
Na 22.99 Na.upf
P 30.97 P.upf
Au 196.97 Au.upf
Pm 145.00 Pm.upf
CELL_PARAMETERS angstrom
-2.1005 2.4503 3.8340
-4.9846 0.0423 0.5174
-2.1537 -2.5599 3.7315
ATOMIC_POSITIONS crystal
Na 0.2500 0.2500 0.2500
P 0.5000 0.5000 0.5000
Au 0.0000 0.0000 0.0000
Pm 0.7500 0.7500 0.7500


No. 8
! RbNa2PAu | the Alexandria database | PBE-GGA | optimized geometry; values from VASP
! SG: No. 123
! M_tot (μB/f.u.): 0.27
! Density of states at the Fermi level (states/eV/atom): 0.36
! Total DFT energy (no corrections) (eV/atom): -2.645
&SYSTEM
  ibrav = 0, nat = 5, ntyp = 4
/
ATOMIC_SPECIES
P 30.97 P.upf
Au 196.97 Au.upf
Rb 85.47 Rb.upf
Na 22.99 Na.upf
CELL_PARAMETERS angstrom
-4.9586 1.2242 2.2284
1.9199 -1.3990 5.0407
1.4742 4.6462 0.7280
ATOMIC_POSITIONS crystal
P 0.0000 0.0000 0.0000
Au 0.0000 0.0000 0.5000
Rb 0.5000 0.5000 0.5000
Na 0.0000 0.5000 0.0000
Na 0.5000 0.0000 0.0000


No. 9
! RbNaPAu | the Alexandria database | PBE-GGA | optimized geometry; values from VASP
! SG: No. 44
! M_tot (μB/f.u.): 0.00
! Total DFT energy (no corrections) (eV/atom): -3.076
&SYSTEM
  ibrav = 0, nat = 4, ntyp = 4
/
ATOMIC_SPECIES
Rb 85.47 Rb.upf
Na 22.99 Na.upf
P 30.97 P.upf
Au 196.97 Au.upf
CELL_PARAMETERS angstrom
4.5156 0.0000 0.0000
0.0000 5.5514 0.0000
-2.2578 -2.7757 4.9319
ATOMIC_POSITIONS crystal
Rb 0.5146 0.5146 0.0293
Na 0.8661 0.8661 0.7321
P 0.1611 0.1611 0.3223
Au 0.7275 0.2275 0.4550


No. 10
! NaRePAu2 | the Alexandria database | PBE-GGA | optimized geometry; values from VASP
! SG: No. 123
! M_tot (μB/f.u.): 4.93
! Density of states at the Fermi level (states/eV/atom): 0.45
! Total DFT energy (no corrections) (eV/atom): -3.967
&SYSTEM
  ibrav = 0, nat = 5, ntyp = 4
/
ATOMIC_SPECIES
Na 22.99 Na.upf
Re 186.21 Re.upf
Au 196.97 Au.upf
P 30.97 P.upf
CELL_PARAMETERS angstrom
-3.2496 3.3871 -0.5633
-1.4869 -2.1464 -4.3286
-3.1394 -2.6168 2.3761
ATOMIC_POSITIONS crystal
Na 0.0000 0.5000 0.0000
Re 0.5000 0.5000 0.5000
Au 0.0000 0.0000 0.5000
Au 0.5000 0.0000 0.0000
P 0.0000 0.0000 0.0000


No. 11
! Na2PAuS4 | the Alexandria database | PBE-GGA | optimized geometry; values from VASP
! SG: No. 82
! M_tot (μB/f.u.): 0.00
! Energy relative to the elements, uncorrected (eV/atom): -0.5632
! Density of states at the Fermi level (states/eV/atom): 0.00
! Total DFT energy (no corrections) (eV/atom): -4.043
&SYSTEM
  ibrav = 0, nat = 8, ntyp = 4
/
ATOMIC_SPECIES
Na 22.99 Na.upf
P 30.97 P.upf
Au 196.97 Au.upf
S 32.06 S.upf
CELL_PARAMETERS angstrom
-1.6096 5.5654 -2.1217
-5.2657 -2.3567 -2.1883
1.1522 -0.5857 6.5593
ATOMIC_POSITIONS crystal
Na 0.4859 0.9858 0.9723
Na 0.2357 0.2361 0.4711
P 0.7359 0.7359 0.4719
Au 0.9861 0.4857 0.9715
S 0.6667 0.6378 0.6984
S 0.8337 0.4401 0.2450
S 0.4113 0.8054 0.2458
S 0.0318 0.0603 0.6981


No. 12
! NaPAuS4 | the Alexandria database | PBE-GGA | optimized geometry; values from VASP
! SG: No. 63
! M_tot (μB/f.u.): 0.20
! Energy relative to the elements, uncorrected (eV/atom): -0.2657
! Density of states at the Fermi level (states/eV/atom): 0.92
! Total DFT energy (no corrections) (eV/atom): -4.054
&SYSTEM
  ibrav = 0, nat = 14, ntyp = 4
/
ATOMIC_SPECIES
Na 22.99 Na.upf
P 30.97 P.upf
Au 196.97 Au.upf
S 32.06 S.upf
CELL_PARAMETERS angstrom
-6.3608 -2.1409 1.8768
2.2469 -2.6165 -6.0557
2.9891 -5.7360 3.5874
ATOMIC_POSITIONS crystal
Na 0.5000 0.5000 0.5000
Na 0.5000 0.5000 0.0000
P 0.1475 0.8525 0.2500
P 0.8525 0.1475 0.7500
Au 0.8613 0.1387 0.2500
Au 0.1387 0.8613 0.7500
S 0.1752 0.2400 0.7500
S 0.7600 0.8248 0.7500
S 0.7482 0.2518 0.9724
S 0.7482 0.2518 0.5276
S 0.2518 0.7482 0.0276
S 0.2518 0.7482 0.4724
S 0.8248 0.7600 0.2500
S 0.2400 0.1752 0.2500


No. 13
! NaPAu2S4 | the Alexandria database | PBE-GGA | optimized geometry; values from VASP
! SG: No. 23
! M_tot (μB/f.u.): 0.00
! Energy relative to the elements, uncorrected (eV/atom): -0.3666
! Density of states at the Fermi level (states/eV/atom): 0.00
! Total DFT energy (no corrections) (eV/atom): -4.091
&SYSTEM
  ibrav = 0, nat = 8, ntyp = 4
/
ATOMIC_SPECIES
Na 22.99 Na.upf
P 30.97 P.upf
Au 196.97 Au.upf
S 32.06 S.upf
CELL_PARAMETERS angstrom
6.1457 0.0000 0.0000
3.0728 5.8417 0.5315
3.0728 1.1752 5.7469
ATOMIC_POSITIONS crystal
Na 0.0000 0.0000 0.0000
P 0.0000 0.5000 0.5000
Au 0.5000 0.7121 0.2878
Au 0.5000 0.2878 0.7121
S 0.6809 0.4622 0.8089
S 0.3191 0.1910 0.5378
S 0.9520 0.5378 0.1910
S 0.0480 0.8089 0.4622


No. 14
! Na2ScPAu | the Alexandria database | PBE-GGA | optimized geometry; values from VASP
! SG: No. 123
! M_tot (μB/f.u.): 0.00
! Density of states at the Fermi level (states/eV/atom): 0.58
! Total DFT energy (no corrections) (eV/atom): -3.312
&SYSTEM
  ibrav = 0, nat = 5, ntyp = 4
/
ATOMIC_SPECIES
Sc 44.96 Sc.upf
P 30.97 P.upf
Au 196.97 Au.upf
Na 22.99 Na.upf
CELL_PARAMETERS angstrom
-2.5630 3.1333 -2.9698
2.3975 -1.8391 -4.0095
-3.8478 -3.7136 -0.5974
ATOMIC_POSITIONS crystal
Sc 0.0000 0.0000 0.5000
P 0.5000 0.5000 0.5000
Au 0.0000 0.0000 0.0000
Na 0.0000 0.5000 0.0000
Na 0.5000 0.0000 0.0000


No. 15
! NaPAuSe2 | the Alexandria database | PBE-GGA | optimized geometry; values from VASP
! SG: No. 123
! M_tot (μB/f.u.): 0.00
! Energy relative to the elements, uncorrected (eV/atom): 0.5918
! Density of states at the Fermi level (states/eV/atom): 0.75
! Total DFT energy (no corrections) (eV/atom): -2.803
&SYSTEM
  ibrav = 0, nat = 5, ntyp = 4
/
ATOMIC_SPECIES
P 30.97 P.upf
Au 196.97 Au.upf
Se 78.96 Se.upf
Na 22.99 Na.upf
CELL_PARAMETERS angstrom
-3.6976 1.7376 2.9829
-1.4184 -4.8412 1.0618
3.1590 -0.0591 3.9504
ATOMIC_POSITIONS crystal
P 0.5000 0.5000 0.5000
Au 0.0000 0.0000 0.0000
Se 0.0000 0.0000 0.5000
Se 0.5000 0.0000 0.0000
Na 0.0000 0.5000 0.0000


No. 16
! NaPAu2Se4 | the Alexandria database | PBE-GGA | optimized geometry; values from VASP
! SG: No. 23
! M_tot (μB/f.u.): 0.00
! Energy relative to the elements, uncorrected (eV/atom): -0.2894
! Total DFT energy (no corrections) (eV/atom): -3.692
&SYSTEM
  ibrav = 0, nat = 8, ntyp = 4
/
ATOMIC_SPECIES
Na 22.99 Na.upf
P 30.97 P.upf
Au 196.97 Au.upf
Se 78.96 Se.upf
CELL_PARAMETERS angstrom
6.4847 0.0000 0.0000
3.2423 5.9379 0.4237
3.2423 1.0787 5.8545
ATOMIC_POSITIONS crystal
Na 0.0000 0.0000 0.0000
P 0.0000 0.5000 0.5000
Au 0.5000 0.7075 0.2925
Au 0.5000 0.2925 0.7075
Se 0.6625 0.4699 0.8266
Se 0.3375 0.1734 0.5301
Se 0.9590 0.5301 0.1734
Se 0.0410 0.8266 0.4699


No. 17
! NaPAuSe4 | the Alexandria database | PBE-GGA | optimized geometry; values from VASP
! SG: No. 63
! M_tot (μB/f.u.): 0.00
! Energy relative to the elements, uncorrected (eV/atom): -0.1762
! Density of states at the Fermi level (states/eV/atom): 1.02
! Total DFT energy (no corrections) (eV/atom): -3.597
&SYSTEM
  ibrav = 0, nat = 14, ntyp = 4
/
ATOMIC_SPECIES
Na 22.99 Na.upf
P 30.97 P.upf
Au 196.97 Au.upf
Se 78.96 Se.upf
CELL_PARAMETERS angstrom
7.3380 -0.0973 0.0000
-3.0366 6.6809 0.0000
0.0000 0.0000 7.8341
ATOMIC_POSITIONS crystal
Na 0.5000 0.5000 0.5000
Na 0.5000 0.5000 0.0000
P 0.1454 0.8546 0.2500
P 0.8546 0.1454 0.7500
Au 0.8582 0.1418 0.2500
Au 0.1418 0.8582 0.7500
Se 0.1885 0.2386 0.7500
Se 0.7614 0.8115 0.7500
Se 0.7465 0.2535 0.9774
Se 0.7465 0.2535 0.5226
Se 0.2535 0.7465 0.0226
Se 0.2535 0.7465 0.4774
Se 0.8115 0.7614 0.2500
Se 0.2386 0.1885 0.2500


No. 18
! NaZnP2Au | the Alexandria database | PBE-GGA | optimized geometry; values from VASP
! SG: No. 123
! M_tot (μB/f.u.): 0.00
! Density of states at the Fermi level (states/eV/atom): 0.58
! Total DFT energy (no corrections) (eV/atom): -2.870
&SYSTEM
  ibrav = 0, nat = 5, ntyp = 4
/
ATOMIC_SPECIES
P 30.97 P.upf
Zn 65.41 Zn.upf
Au 196.97 Au.upf
Na 22.99 Na.upf
CELL_PARAMETERS angstrom
4.9762 0.0000 0.0000
0.0000 4.8604 0.0000
0.0000 0.0000 4.9762
ATOMIC_POSITIONS crystal
P 0.0000 0.0000 0.5000
P 0.5000 0.0000 0.0000
Zn 0.0000 0.5000 0.0000
Au 0.0000 0.0000 0.0000
Na 0.5000 0.5000 0.5000


No. 19
! Na2ZnPAu | the Alexandria database | PBE-GGA | optimized geometry; values from VASP
! SG: No. 123
! M_tot (μB/f.u.): 0.00
! Density of states at the Fermi level (states/eV/atom): 0.00
! Total DFT energy (no corrections) (eV/atom): -2.575
&SYSTEM
  ibrav = 0, nat = 5, ntyp = 4
/
ATOMIC_SPECIES
P 30.97 P.upf
Zn 65.41 Zn.upf
Au 196.97 Au.upf
Na 22.99 Na.upf
CELL_PARAMETERS angstrom
-0.6615 -5.1171 2.0491
4.5731 -0.4212 0.4247
-0.2841 2.0927 5.1343
ATOMIC_POSITIONS crystal
P 0.0000 0.0000 0.0000
Zn 0.5000 0.5000 0.5000
Au 0.0000 0.5000 0.0000
Na 0.0000 0.0000 0.5000
Na 0.5000 0.0000 0.0000


No. 20
! NaZrPAu2 | the Alexandria database | PBE-GGA | optimized geometry; values from VASP
! SG: No. 123
! M_tot (μB/f.u.): 0.00
! Density of states at the Fermi level (states/eV/atom): 1.32
! Total DFT energy (no corrections) (eV/atom): -3.150
&SYSTEM
  ibrav = 0, nat = 5, ntyp = 4
/
ATOMIC_SPECIES
P 30.97 P.upf
Au 196.97 Au.upf
Zr 91.22 Zr.upf
Na 22.99 Na.upf
CELL_PARAMETERS angstrom
-0.2742 -0.0649 5.1321
-1.4393 -5.7474 -0.1496
4.9784 -1.2532 0.2501
ATOMIC_POSITIONS crystal
P 0.5000 0.5000 0.5000
Au 0.0000 0.0000 0.5000
Au 0.5000 0.0000 0.0000
Zr 0.0000 0.0000 0.0000
Na 0.0000 0.5000 0.0000